Run one
Entry from the Alexandria database: a relaxed structure of FeTcH3 (GGA-PBE).

Results
SG: Pm-3m, No. 221
mass density: 6.488 Mg/m³
D(E_F): 2.72 states/eV per cell

Lattice parameters (Å, degrees): 3.4242 3.4242 3.4242 90.00 90.00 90.00
Positions (direct):
H 0.5000 0.0000 0.0000
Fe 0.5000 0.5000 0.5000
Tc 0.0000 0.0000 0.0000
H 0.0000 0.0000 0.5000
H 0.0000 0.5000 0.0000

Run two
Entry from the Alexandria database: a relaxed structure of FeTcH3 (GGA-PBE).

Results
SG: Pm-3m, No. 221
mass density: 7.992 Mg/m³
D(E_F): 2.95 states/eV per cell

Lattice parameters (Å, degrees): 3.1943 3.1943 3.1943 90.00 90.00 90.00
Positions (direct):
H 0.0000 0.0000 0.5000
Fe 0.0000 0.0000 0.0000
H 0.5000 0.0000 0.0000
Tc 0.5000 0.5000 0.5000
H 0.0000 0.5000 0.0000

Which of them is the most stable? Correct choice: run two.

Run one
Entry from the Alexandria database: a relaxed structure of Fe2TcH2 (GGA-PBE).

Results
SG: I4/mmm, No. 139
mass density: 8.584 Mg/m³
D(E_F): 4.40 states/eV per cell

Lattice parameters (Å, degrees): 3.1588 3.1588 4.6728 70.25 70.25 90.00
Positions (direct):
H 0.2500 0.7500 0.5000
Fe 0.3358 0.3358 0.3285
H 0.7500 0.2500 0.5000
Fe 0.6642 0.6642 0.6715
Tc 0.0000 0.0000 0.0000

Run two
Entry from the Alexandria database: a relaxed structure of Fe2TcH2 (GGA-PBE).

Results
SG: P4/mbm, No. 127
mass density: 8.315 Mg/m³
D(E_F): 9.06 states/eV per cell

Lattice parameters (Å, degrees): 5.6331 5.6331 2.6648 90.00 90.00 90.00
Positions (direct):
Fe 0.1349 0.6349 0.5000
Fe 0.8651 0.3651 0.5000
H 0.7188 0.2188 0.0000
Fe 0.6349 0.8651 0.5000
H 0.2188 0.2812 0.0000
H 0.2812 0.7812 0.0000
Tc 0.0000 0.0000 0.0000
Tc 0.5000 0.5000 0.0000
H 0.7812 0.7188 0.0000
Fe 0.3651 0.1349 0.5000

Which of them is the most stable? Correct choice: run one.

Run one
Entry from the Alexandria database: a relaxed structure of FeTc2HW (GGA-PBE).

Results
SG: P4/mmm, No. 123
mass density: 12.432 Mg/m³
D(E_F): 4.38 states/eV per cell

Lattice parameters (Å, degrees): 3.9422 3.9422 3.7532 90.00 90.00 90.00
Positions (direct):
Tc 0.5000 0.0000 0.0000
Tc 0.0000 0.5000 0.0000
H 0.0000 0.0000 0.0000
Fe 0.0000 0.0000 0.5000
W 0.5000 0.5000 0.5000

Run two
Entry from the Alexandria database: a relaxed structure of FeTc2HW (GGA-PBE).

Results
SG: P4/mmm, No. 123
mass density: 12.256 Mg/m³
D(E_F): 3.79 states/eV per cell

Lattice parameters (Å, degrees): 3.8759 3.8759 3.9384 90.00 90.00 90.00
Positions (direct):
Fe 0.5000 0.5000 0.5000
W 0.0000 0.0000 0.5000
Tc 0.0000 0.5000 0.0000
Tc 0.5000 0.0000 0.0000
H 0.0000 0.0000 0.0000

Which of them is the most stable? Correct choice: run one.

Run one
Entry from the Alexandria database: a relaxed structure of Fe2TcHW (GGA-PBE).

Results
SG: P4/mmm, No. 123
mass density: 12.277 Mg/m³
D(E_F): 5.48 states/eV per cell

Lattice parameters (Å, degrees): 3.7371 3.7371 3.8209 90.00 90.00 90.00
Positions (direct):
Fe 0.5000 0.0000 0.0000
Tc 0.0000 0.0000 0.5000
H 0.0000 0.0000 0.0000
Fe 0.0000 0.5000 0.0000
W 0.5000 0.5000 0.5000

Run two
Entry from the Alexandria database: a relaxed structure of Fe2TcHW (GGA-PBE).

Results
SG: P4/mmm, No. 123
mass density: 12.254 Mg/m³
D(E_F): 4.96 states/eV per cell

Lattice parameters (Å, degrees): 3.7216 3.7216 3.8602 90.00 90.00 90.00
Positions (direct):
H 0.0000 0.0000 0.0000
W 0.0000 0.0000 0.5000
Tc 0.5000 0.5000 0.5000
Fe 0.5000 0.0000 0.0000
Fe 0.0000 0.5000 0.0000

Which of them is the most stable? Correct choice: run one.

Run one
Entry from the Alexandria database: a relaxed structure of Fe3TeH (GGA-PBE).

Results
SG: Pm-3m, No. 221
mass density: 9.500 Mg/m³
D(E_F): 5.13 states/eV per cell

Lattice parameters (Å, degrees): 3.7268 3.7268 3.7268 90.00 90.00 90.00
Positions (direct):
Te 0.5000 0.5000 0.5000
Fe 0.5000 0.0000 0.0000
Fe 0.0000 0.0000 0.5000
Fe 0.0000 0.5000 0.0000
H 0.0000 0.0000 0.0000

Run two
Entry from the Alexandria database: a relaxed structure of Fe3TeH (GGA-PBE).

Results
SG: Pm-3m, No. 221
mass density: 4.317 Mg/m³
D(E_F): 10.71 states/eV per cell

Lattice parameters (Å, degrees): 4.8477 4.8477 4.8477 90.00 90.00 90.00
Positions (direct):
Fe 0.0000 0.5000 0.0000
Fe 0.0000 0.0000 0.5000
Te 0.0000 0.0000 0.0000
H 0.5000 0.5000 0.5000
Fe 0.5000 0.0000 0.0000

Which of them is the most stable? Correct choice: run one.

Run one
Entry from the Alexandria database: a relaxed structure of ThFe2H8 (GGA-PBE).

Results
SG: P4/mmm, No. 123
mass density: 7.021 Mg/m³
D(E_F): 4.61 states/eV per cell

Lattice parameters (Å, degrees): 4.1089 4.1089 4.9278 90.00 90.00 90.00
Positions (direct):
H 0.2136 0.2136 0.1763
Fe 0.0000 0.5000 0.0000
H 0.2136 0.7864 0.1763
H 0.7864 0.2136 0.1763
H 0.2136 0.2136 0.8237
Fe 0.5000 0.0000 0.0000
H 0.2136 0.7864 0.8237
H 0.7864 0.7864 0.8237
H 0.7864 0.2136 0.8237
H 0.7864 0.7864 0.1763
Th 0.5000 0.5000 0.5000

Run two
Entry from the Alexandria database: a relaxed structure of ThFe2H8 (GGA-PBE).

Results
SG: C2/m, No. 12
mass density: 7.922 Mg/m³
D(E_F): 1.99 states/eV per cell

Lattice parameters (Å, degrees): 3.7566 4.7015 4.7015 117.37 90.05 90.05
Positions (direct):
H 0.7626 0.4980 0.4980
Th 0.5000 0.0000 0.0000
H 0.9994 0.6786 0.9713
Fe 0.0000 0.6737 0.3263
H 0.2374 0.5020 0.5020
H 0.0006 0.0287 0.3214
H 0.5000 0.6926 0.3074
H 0.5000 0.3074 0.6926
H 0.9994 0.9713 0.6786
H 0.0006 0.3214 0.0287
Fe 0.0000 0.3263 0.6737

Which of them is the most stable? Correct choice: run two.

Run one
Entry from the Alexandria database: a relaxed structure of TiFeH (GGA-PBE).

Results
SG: P3m1, No. 156
mass density: 5.802 Mg/m³
D(E_F): 1.84 states/eV per cell

Lattice parameters (Å, degrees): 2.9714 3.4127 3.4127 120.00 90.00 90.00
Positions (direct):
H 0.1314 0.0000 0.0000
Fe 0.1655 0.3333 0.6667
Ti 0.7030 0.6667 0.3333

Run two
Entry from the Alexandria database: a relaxed structure of TiFeH (GGA-PBE).

Results
SG: Pmma, No. 51
mass density: 6.172 Mg/m³
D(E_F): 3.15 states/eV per cell

Lattice parameters (Å, degrees): 2.9063 4.2569 4.5545 90.00 90.00 90.00
Positions (direct):
H 0.0000 0.5000 0.0000
Fe 0.0000 0.7500 0.3023
Ti 0.5000 0.2500 0.2522
H 0.0000 0.0000 0.0000
Ti 0.5000 0.7500 0.7478
Fe 0.0000 0.2500 0.6977

Which of them is the most stable? Correct choice: run two.

Run one
Entry from the Alexandria database: a relaxed structure of TiFe2H2 (GGA-PBE).

Results
SG: P4/mbm, No. 127
mass density: 5.693 Mg/m³
D(E_F): 6.07 states/eV per cell

Lattice parameters (Å, degrees): 6.1756 6.1756 2.4716 90.00 90.00 90.00
Positions (direct):
H 0.8815 0.3815 0.5000
Fe 0.8710 0.6290 0.0000
Ti 0.0000 0.0000 0.0000
H 0.3815 0.1185 0.5000
H 0.1185 0.6185 0.5000
Fe 0.6290 0.1290 0.0000
Ti 0.5000 0.5000 0.0000
Fe 0.3710 0.8710 0.0000
Fe 0.1290 0.3710 0.0000
H 0.6185 0.8815 0.5000

Run two
Entry from the Alexandria database: a relaxed structure of TiFe2H2 (GGA-PBE).

Results
SG: I4/mmm, No. 139
mass density: 6.259 Mg/m³
D(E_F): 2.54 states/eV per cell

Lattice parameters (Å, degrees): 3.1401 3.1401 4.8815 71.24 71.24 90.00
Positions (direct):
H 0.2500 0.7500 0.5000
H 0.7500 0.2500 0.5000
Fe 0.3428 0.3428 0.3145
Fe 0.6572 0.6572 0.6855
Ti 0.0000 0.0000 0.0000

Which of them is the most stable? Correct choice: run two.

Run one
Entry from the Alexandria database: a relaxed structure of Ti2FeH2 (GGA-PBE).

Results
SG: I4/mmm, No. 139
mass density: 5.390 Mg/m³
D(E_F): 0.95 states/eV per cell

Lattice parameters (Å, degrees): 2.9253 2.9253 5.9042 75.66 75.66 90.00
Positions (direct):
H 0.2500 0.7500 0.5000
Ti 0.3630 0.3630 0.2739
Ti 0.6370 0.6370 0.7261
H 0.7500 0.2500 0.5000
Fe 0.0000 0.0000 0.0000

Run two
Entry from the Alexandria database: a relaxed structure of Ti2FeH2 (GGA-PBE).

Results
SG: P4/mmm, No. 123
mass density: 5.227 Mg/m³
D(E_F): 1.51 states/eV per cell

Lattice parameters (Å, degrees): 2.8859 2.8859 5.8589 90.00 90.00 90.00
Positions (direct):
H 0.5000 0.0000 0.5000
Ti 0.5000 0.5000 0.2579
Ti 0.5000 0.5000 0.7421
Fe 0.0000 0.0000 0.0000
H 0.0000 0.5000 0.5000

Which of them is the most stable? Correct choice: run one.

Run one
Entry from the Alexandria database: a relaxed structure of TlFe2H (GGA-PBE).

Results
SG: I4_1/amd, No. 141
mass density: 9.957 Mg/m³
D(E_F): 5.15 states/eV per cell

Lattice parameters (Å, degrees): 5.0775 5.0775 5.4515 62.24 62.24 90.00
Positions (direct):
H 0.2500 0.7500 0.5000
Fe 0.8750 0.6250 0.7500
Fe 0.3750 0.1250 0.2500
Fe 0.3750 0.6250 0.2500
H 0.5000 0.5000 0.0000
Tl 0.7500 0.2500 0.5000
Fe 0.3750 0.6250 0.7500
Tl 0.0000 0.0000 0.0000

Run two
Entry from the Alexandria database: a relaxed structure of TlFe2H (GGA-PBE).

Results
SG: Fm-3m, No. 225
mass density: 9.237 Mg/m³
D(E_F): 4.10 states/eV per cell

Lattice parameters (Å, degrees): 4.3198 4.3198 4.3198 60.00 60.00 60.00
Positions (direct):
Tl 0.5000 0.5000 0.5000
Fe 0.2500 0.2500 0.2500
Fe 0.7500 0.7500 0.7500
H 0.0000 0.0000 0.0000

Which of them is the most stable? Correct choice: run one.

Run one
Entry from the Alexandria database: a relaxed structure of TlFe3H (GGA-PBE).

Results
SG: Pm-3m, No. 221
mass density: 10.618 Mg/m³
D(E_F): 3.59 states/eV per cell

Lattice parameters (Å, degrees): 3.8780 3.8780 3.8780 90.00 90.00 90.00
Positions (direct):
Tl 0.5000 0.5000 0.5000
Fe 0.0000 0.0000 0.5000
H 0.0000 0.0000 0.0000
Fe 0.0000 0.5000 0.0000
Fe 0.5000 0.0000 0.0000

Run two
Entry from the Alexandria database: a relaxed structure of TlFe3H (GGA-PBE).

Results
SG: Pm-3m, No. 221
mass density: 4.812 Mg/m³
D(E_F): 24.21 states/eV per cell

Lattice parameters (Å, degrees): 5.0488 5.0488 5.0488 90.00 90.00 90.00
Positions (direct):
Fe 0.0000 0.5000 0.0000
Fe 0.0000 0.0000 0.5000
Tl 0.0000 0.0000 0.0000
Fe 0.5000 0.0000 0.0000
H 0.5000 0.5000 0.5000

Which of them is the most stable? Correct choice: run one.

Run one
Entry from the Alexandria database: a relaxed structure of TlFe2H2 (GGA-PBE).

Results
SG: I4/mmm, No. 139
mass density: 9.766 Mg/m³
D(E_F): 3.41 states/eV per cell

Lattice parameters (Å, degrees): 3.1416 3.1416 5.9133 74.60 74.60 90.00
Positions (direct):
Fe 0.6837 0.6837 0.6327
Tl 0.0000 0.0000 0.0000
H 0.7500 0.2500 0.5000
Fe 0.3163 0.3163 0.3673
H 0.2500 0.7500 0.5000

Run two
Entry from the Alexandria database: a relaxed structure of TlFe2H2 (GGA-PBE).

Results
SG: P4/mbm, No. 127
mass density: 8.341 Mg/m³
D(E_F): 5.95 states/eV per cell

Lattice parameters (Å, degrees): 6.8848 6.8848 2.6719 90.00 90.00 90.00
Positions (direct):
H 0.5873 0.9127 0.5000
Fe 0.3867 0.8867 0.0000
Tl 0.0000 0.0000 0.0000
Tl 0.5000 0.5000 0.0000
H 0.4127 0.0873 0.5000
H 0.9127 0.4127 0.5000
H 0.0873 0.5873 0.5000
Fe 0.8867 0.6133 0.0000
Fe 0.6133 0.1133 0.0000
Fe 0.1133 0.3867 0.0000

Which of them is the most stable? Correct choice: run one.

Run one
Entry from the Alexandria database: a relaxed structure of UFeH (GGA-PBE).

Results
SG: P-1, No. 2
mass density: 13.970 Mg/m³
D(E_F): 5.24 states/eV per cell

Lattice parameters (Å, degrees): 3.1037 5.2010 5.4213 121.09 89.43 107.92
Positions (direct):
U 0.1400 0.0399 0.4814
Fe 0.8095 0.4691 0.7862
U 0.3253 0.4561 0.2460
H 0.5624 0.7765 0.0632
Fe 0.6559 0.0268 0.9412
H 0.9029 0.7195 0.6644

Run two
Entry from the Alexandria database: a relaxed structure of UFeH (GGA-PBE).

Results
SG: I4mm, No. 107
mass density: 14.549 Mg/m³
D(E_F): 3.69 states/eV per cell

Lattice parameters (Å, degrees): 2.7444 2.7444 4.8717 106.36 106.36 90.00
Positions (direct):
Fe 0.2487 0.2487 0.4974
U 0.0025 0.0025 0.0050
H 0.7488 0.7488 0.4976

Which of them is the most stable? Correct choice: run one.